(1)
Y3Si5S12 | GGA-PBE | relaxed

```
Y3Si5S12
1.0
12.9309 0.0000 0.0000
-4.3103 12.1914 0.0000
-4.3103 -6.0957 10.5581
Y Si S
12 20 48
direct
0.7500 0.3750 0.1250
0.8750 0.7500 0.1250
0.3750 0.7500 0.6250
0.2500 0.1250 0.3750
0.8750 0.1250 0.2500
0.3750 0.6250 0.2500
0.6250 0.3750 0.7500
0.1250 0.8750 0.7500
0.7500 0.8750 0.6250
0.6250 0.2500 0.3750
0.1250 0.2500 0.8750
0.2500 0.6250 0.8750
0.1250 0.3750 0.2500
0.0000 0.5000 0.0000
0.0000 0.0000 0.0000
0.3750 0.2500 0.1250
0.5000 0.0000 0.5000
0.5000 0.5000 0.0000
0.1250 0.7500 0.3750
0.7500 0.1250 0.8750
0.7500 0.6250 0.3750
0.3750 0.1250 0.7500
0.6250 0.8750 0.2500
0.5000 0.5000 0.5000
0.5000 0.0000 0.0000
0.0000 0.0000 0.5000
0.2500 0.3750 0.6250
0.2500 0.8750 0.1250
0.0000 0.5000 0.5000
0.8750 0.2500 0.6250
0.6250 0.7500 0.8750
0.8750 0.6250 0.7500
0.7132 0.1241 0.0267
0.3135 0.5267 0.4026
0.9733 0.3759 0.2868
0.5267 0.2132 0.1241
0.5891 0.7132 0.6865
0.9733 0.5974 0.1865
0.3135 0.7868 0.4109
0.0974 0.9109 0.1241
0.5974 0.9733 0.6865
0.7132 0.5891 0.1865
0.7868 0.4733 0.3759
0.8135 0.9026 0.0267
0.1241 0.7132 0.5267
0.3759 0.4026 0.0891
0.0891 0.9026 0.3759
0.4109 0.1241 0.5974
0.0891 0.1865 0.2132
0.4733 0.6865 0.0974
0.8135 0.9109 0.2868
0.1241 0.4109 0.0974
0.3759 0.9733 0.7868
0.5974 0.6241 0.4109
0.9026 0.8135 0.5267
0.7868 0.3135 0.9109
0.4026 0.3759 0.5891
0.0974 0.1865 0.4733
0.2132 0.6865 0.0891
0.1865 0.0891 0.7132
0.6241 0.0267 0.2132
0.8759 0.5891 0.9026
0.5267 0.3135 0.9026
0.5891 0.8759 0.4026
0.9109 0.8135 0.7868
0.9109 0.0974 0.6241
0.8759 0.2868 0.4733
0.1865 0.0974 0.9733
0.6241 0.5974 0.9109
0.4026 0.0267 0.3135
0.2868 0.4109 0.8135
0.2132 0.5267 0.6241
0.9026 0.0891 0.8759
0.6865 0.2132 0.5891
0.4733 0.7868 0.8759
0.0267 0.4026 0.8135
0.4109 0.2868 0.3135
0.0267 0.6241 0.7132
0.6865 0.4733 0.5974
0.2868 0.8759 0.9733
```

Calculated values
Formation energy from raw total energies   -0.960 eV per atom
Calculated density   3.16 g/cm³
Spin magnetization   0.0 μB per formula unit
Uncorrected energy   -115.24 eV per formula unit
N(E_F)   0.072 states/eV/atom
Volume   20.81 Å³/atom

***

(2)
LiY2ZrN | GGA-PBE | relaxed

```
LiY2ZrN
1.0
-4.8333 -0.1883 0.9185
-0.6780 -2.6300 -4.1066
0.5816 -3.7338 2.2952
Y Li Zr N
2 1 1 1
direct
0.0000 0.5000 0.0000
0.5000 0.0000 0.0000
0.5000 0.5000 0.5000
0.0000 0.0000 0.5000
0.0000 0.0000 0.0000
```

Calculated values
Formation energy from raw total energies   -0.544 eV per atom
Calculated density   4.49 g/cm³
Spin magnetization   0.0 μB per formula unit
Uncorrected energy   -34.44 eV per formula unit
N(E_F)   0.987 states/eV/atom
Volume   21.43 Å³/atom

***

- Number 1 is which compound?
  Y3Si5S12